# 1
Below is crystalline SmTmTe3 at its relaxed geometry, with properties calculated at the PBE level.

abc: 8.231 4.349 17.309
angles: 90.00 90.00 90.00
Atoms (fractional coordinates):
Sm  0.134  0.250  0.200
Sm  0.366  0.750  0.700
Sm  0.634  0.250  0.300
Sm  0.866  0.750  0.800
Tm  0.227  0.750  0.459
Tm  0.273  0.250  0.959
Tm  0.727  0.750  0.041
Tm  0.773  0.250  0.541
Te  0.005  0.250  0.394
Te  0.117  0.750  0.063
Te  0.158  0.250  0.786
Te  0.342  0.750  0.286
Te  0.383  0.250  0.563
Te  0.495  0.750  0.894
Te  0.505  0.250  0.106
Te  0.617  0.750  0.437
Te  0.658  0.250  0.714
Te  0.842  0.750  0.214
Te  0.883  0.250  0.937
Te  0.995  0.750  0.606

## Properties
* ΔE_f (raw): -1371 meV/atom
* SG: Pnma (62)
* N(E_F): 0.06 states/eV per atom

***

# 2
Below is crystalline Co2HgPb at its relaxed geometry, with properties calculated at the PBE level.

abc: 3.795 3.963 5.215
angles: 90.00 111.23 90.00
Atoms (fractional coordinates):
Co  0.000  0.000  0.000
Co  0.121  0.500  0.245
Hg  0.707  0.000  0.417
Pb  0.407  0.500  0.816

## Properties
* DFT formation energy: 0.4435 eV per atom
* SG: Pm (6)
* N(E_F): 1.24 states/eV per atom

***

> What is the formula in the second record?

Co2HgPb